## Pr8Co3OsCl4 (PBE)

Data for an optimized crystal structure of Pr8Co3OsCl4.

Structure (CIF):
```
data_Pr8Co3OsCl4
_cell_length_a 8.0198
_cell_length_b 8.0198
_cell_length_c 23.0053
_cell_angle_alpha 90.00
_cell_angle_beta 90.00
_cell_angle_gamma 120.00
_space_group_name_H-M_alt 'R -3 m'
_space_group_IT_number 166
_space_group_name_Hall '-R 3 2"'
loop_
_atom_site_label
_atom_site_type_symbol
_atom_site_fract_x
_atom_site_fract_y
_atom_site_fract_z
Pr1 Pr 0.0000 0.0000 0.2325
Pr2 Pr 0.0030 0.5015 0.7648
Co1 Co 0.0000 0.5000 0.5000
Os1 Os 0.0000 0.0000 0.5000
Cl1 Cl 0.0000 0.0000 0.0000
Cl2 Cl 0.0000 0.5000 0.0000
```

Values from the calculation:
- Total moment: 0.0 Bohr magnetons per cell
- ΔE_f (raw): -0.803 eV/atom
- Total energy: -5.689 eV per atom


## Pr8CoOs3Cl4 (PBE)

Data for an optimized crystal structure of Pr8CoOs3Cl4.

Structure (CIF):
```
data_Pr8CoOs3Cl4
_cell_length_a 8.1834
_cell_length_b 8.1834
_cell_length_c 22.9169
_cell_angle_alpha 90.00
_cell_angle_beta 90.00
_cell_angle_gamma 120.00
_space_group_name_H-M_alt 'R -3 m'
_space_group_IT_number 166
_space_group_name_Hall '-R 3 2"'
loop_
_atom_site_label
_atom_site_type_symbol
_atom_site_fract_x
_atom_site_fract_y
_atom_site_fract_z
Pr1 Pr 0.0000 0.0000 0.2363
Pr2 Pr 0.0019 0.5010 0.2351
Co1 Co 0.0000 0.0000 0.5000
Os1 Os 0.0000 0.5000 0.5000
Cl1 Cl 0.0000 0.0000 0.0000
Cl2 Cl 0.0000 0.5000 0.0000
```

Values from the calculation:
- Total moment: 0.0 Bohr magnetons per cell
- ΔE_f (raw): -0.740 eV/atom
- Total energy: -6.141 eV per atom


## RbCoOsCl6 (PBE)

Data for an optimized crystal structure of RbCoOsCl6.

Structure (CIF):
```
data_RbCoOsCl6
_cell_length_a 6.3577
_cell_length_b 6.3577
_cell_length_c 7.3374
_cell_angle_alpha 90.00
_cell_angle_beta 90.00
_cell_angle_gamma 120.00
_space_group_name_H-M_alt 'P 3 1 2'
_space_group_IT_number 149
_space_group_name_Hall 'P 3 2'
loop_
_atom_site_label
_atom_site_type_symbol
_atom_site_fract_x
_atom_site_fract_y
_atom_site_fract_z
Rb1 Rb 0.0000 0.0000 0.0000
Co1 Co 0.6667 0.3333 0.5000
Os1 Os 0.3333 0.6667 0.5000
Cl1 Cl 0.0091 0.3797 0.3170
```

Values from the calculation:
- Total moment: 4.0 Bohr magnetons per cell
- ΔE_f (raw): -0.748 eV/atom
- Total energy: -4.124 eV per atom


## Rb2CoOsCl6 (PBE)

Data for an optimized crystal structure of Rb2CoOsCl6.

Structure (CIF):
```
data_Rb2CoOsCl6
_cell_length_a 7.279
_cell_length_b 7.279
_cell_length_c 9.094
_cell_angle_alpha 90.00
_cell_angle_beta 90.00
_cell_angle_gamma 90.00
_space_group_name_H-M_alt 'I 4/m m m'
_space_group_IT_number 139
_space_group_name_Hall '-I 4 2'
loop_
_atom_site_label
_atom_site_type_symbol
_atom_site_fract_x
_atom_site_fract_y
_atom_site_fract_z
Rb1 Rb 0.000 0.500 0.250
Co1 Co 0.000 0.000 0.000
Os1 Os 0.000 0.000 0.500
Cl1 Cl 0.000 0.000 0.243
Cl2 Cl 0.237 0.237 0.500
```

Values from the calculation:
- Total moment: 6.0 Bohr magnetons per cell
- ΔE_f (raw): -0.822 eV/atom
- Total energy: -3.957 eV per atom


## CoOsSCl2 (PBE)

Data for an optimized crystal structure of CoOsSCl2.

Structure (CIF):
```
data_CoOsSCl2
_cell_length_a 4.441
_cell_length_b 4.441
_cell_length_c 4.632
_cell_angle_alpha 90.00
_cell_angle_beta 90.00
_cell_angle_gamma 90.00
_space_group_name_H-M_alt 'P 4/m m m'
_space_group_IT_number 123
_space_group_name_Hall '-P 4 2'
loop_
_atom_site_label
_atom_site_type_symbol
_atom_site_fract_x
_atom_site_fract_y
_atom_site_fract_z
Co1 Co 0.000 0.000 0.000
Os1 Os 0.500 0.500 0.500
S1 S 0.000 0.000 0.500
Cl1 Cl 0.000 0.500 0.000
```

Values from the calculation:
- Distance to the lowest polymorph of the same formula: 266 meV/atom
- Total moment: 4.7 Bohr magnetons per cell
- ΔE_f (raw): 1.075 eV/atom
- Total energy: -4.156 eV per atom


## CoOsS2Cl (PBE)

Data for an optimized crystal structure of CoOsS2Cl.

Structure (CIF):
```
data_CoOsS2Cl
_cell_length_a 4.433
_cell_length_b 4.433
_cell_length_c 4.327
_cell_angle_alpha 90.00
_cell_angle_beta 90.00
_cell_angle_gamma 90.00
_space_group_name_H-M_alt 'P 4/m m m'
_space_group_IT_number 123
_space_group_name_Hall '-P 4 2'
loop_
_atom_site_label
_atom_site_type_symbol
_atom_site_fract_x
_atom_site_fract_y
_atom_site_fract_z
Co1 Co 0.000 0.000 0.000
Os1 Os 0.500 0.500 0.500
S1 S 0.000 0.500 0.000
Cl1 Cl 0.000 0.000 0.500
```

Values from the calculation:
- Distance to the lowest polymorph of the same formula: 256 meV/atom
- Total moment: 2.9 Bohr magnetons per cell
- ΔE_f (raw): 1.135 eV/atom
- Total energy: -4.553 eV per atom


## CoOsSCl2 (PBE)

Data for an optimized crystal structure of CoOsSCl2.

Structure (CIF):
```
data_CoOsSCl2
_cell_length_a 4.971
_cell_length_b 4.971
_cell_length_c 4.391
_cell_angle_alpha 90.00
_cell_angle_beta 90.00
_cell_angle_gamma 90.00
_space_group_name_H-M_alt 'P 4/m m m'
_space_group_IT_number 123
_space_group_name_Hall '-P 4 2'
loop_
_atom_site_label
_atom_site_type_symbol
_atom_site_fract_x
_atom_site_fract_y
_atom_site_fract_z
Co1 Co 0.000 0.000 0.000
Os1 Os 0.500 0.500 0.500
S1 S 0.500 0.500 0.000
Cl1 Cl 0.000 0.500 0.500
```

Values from the calculation:
- Distance to the lowest polymorph of the same formula: 0 meV/atom
- Total moment: 2.6 Bohr magnetons per cell
- ΔE_f (raw): 0.809 eV/atom
- Total energy: -4.422 eV per atom


## CoOsS2Cl (PBE)

Data for an optimized crystal structure of CoOsS2Cl.

Structure (CIF):
```
data_CoOsS2Cl
_cell_length_a 4.546
_cell_length_b 4.546
_cell_length_c 5.003
_cell_angle_alpha 90.00
_cell_angle_beta 90.00
_cell_angle_gamma 90.00
_space_group_name_H-M_alt 'P 4/m m m'
_space_group_IT_number 123
_space_group_name_Hall '-P 4 2'
loop_
_atom_site_label
_atom_site_type_symbol
_atom_site_fract_x
_atom_site_fract_y
_atom_site_fract_z
Co1 Co 0.000 0.000 0.000
Os1 Os 0.500 0.500 0.500
S1 S 0.000 0.500 0.500
Cl1 Cl 0.500 0.500 0.000
```

Values from the calculation:
- Distance to the lowest polymorph of the same formula: 0 meV/atom
- Total moment: 2.6 Bohr magnetons per cell
- ΔE_f (raw): 0.878 eV/atom
- Total energy: -4.809 eV per atom